{"formula": "Al3HO", "functional": "PBE", "state": "optimized geometry", "cell": [[3.9886, 0.0000, 0.0000], [0.0000, 3.9886, 0.0000], [0.0000, 0.0000, 3.9886]], "species": ["Al", "Al", "Al", "H", "O"], "fractional_positions": [[0.0000, 0.0000, 0.5000], [0.0000, 0.5000, 0.0000], [0.5000, 0.0000, 0.0000], [0.0000, 0.0000, 0.0000], [0.5000, 0.5000, 0.5000]], "energy_ev_per_cell": -18.13, "dos_at_fermi_per_ev_atom": 0.2605, "total_magnetization_mub_per_cell": 0.0, "space_group": "Pm-3m"}